# UPaFe2O8

A relaxed structure of UPaFe2O8 (PBE+U, Alexandria via LeMat-Bulk).

Cell lengths 6.956, 6.956, 6.801 Å; angles 90.00, 90.00, 90.00 degrees
Space group I-4m2 (No. 119)
One atom of each set of equivalent atoms:
U (0.000, 0.000, 0.000) (multiplicity 2)
Pa (0.000, 0.500, 0.750) (multiplicity 2)
Fe (0.000, 0.000, 0.500) (multiplicity 2)
Fe (0.000, 0.500, 0.250) (multiplicity 2)
O (0.000, 0.192, 0.696) (multiplicity 8)
O (0.000, 0.306, 0.056) (multiplicity 8)

Calculated values
As for the crystal system: tetragonal. As for the total magnetic moment: 1.0 μB per formula unit. Its total energy is -8.53 eV per atom.